Record 1
Pr5Nd2SmDy | PBE-GGA | relaxed

total energy = -4.480 eV/atom
ρ = 6.76 Mg/m³
formation enthalpy at 0 K = 270 meV per atom

a b c (Å): 10.310 10.310 10.310
angles (deg): 129.15 129.15 74.76
Fractional coordinates of all 18 atoms:
Pr: 0.000 0.000 0.000
Pr: 0.071 0.571 0.924
Pr: 0.147 0.071 0.500
Pr: 0.353 0.853 0.924
Pr: 0.429 0.353 0.500
Pr: 0.500 0.500 0.000
Pr: 0.571 0.647 0.500
Pr: 0.647 0.147 0.076
Pr: 0.853 0.929 0.500
Pr: 0.929 0.429 0.076
Nd: 0.119 0.381 0.500
Nd: 0.381 0.881 0.262
Nd: 0.619 0.119 0.738
Nd: 0.881 0.619 0.500
Sm: 0.250 0.250 0.000
Sm: 0.750 0.750 0.000
Dy: 0.250 0.750 0.500
Dy: 0.750 0.250 0.500



Record 2
Zr4ScTi | PBE-GGA | relaxed

total energy = -8.006 eV/atom
distance to the lowest polymorph of the same formula = 16 meV/atom
ρ = 5.62 Mg/m³
formation enthalpy at 0 K = 64 meV per atom

a b c (Å): 7.564 7.564 5.809
angles (deg): 100.74 100.74 118.91
Fractional coordinates of all 12 atoms:
Zr: 0.098 0.715 0.952
Zr: 0.186 0.402 0.644
Zr: 0.285 0.902 0.548
Zr: 0.402 0.186 0.144
Zr: 0.598 0.814 0.856
Zr: 0.715 0.098 0.452
Zr: 0.814 0.598 0.356
Zr: 0.902 0.285 0.048
Sc: 0.402 0.598 0.250
Sc: 0.598 0.402 0.750
Ti: 0.002 0.998 0.750
Ti: 0.998 0.002 0.250



Record 3
Ce7Ga2Fe2 | PBE-GGA | relaxed

total energy = -5.975 eV/atom
ρ = 7.65 Mg/m³
formation enthalpy at 0 K = -110 meV per atom

a b c (Å): 6.586 6.586 6.545
angles (deg): 90.00 90.00 109.69
Fractional coordinates of all 11 atoms:
Ce: 0.000 0.000 0.000
Ce: 0.000 0.500 0.267
Ce: 0.000 0.500 0.733
Ce: 0.500 0.000 0.267
Ce: 0.500 0.000 0.733
Ce: 0.500 0.500 0.214
Ce: 0.500 0.500 0.786
Ga: 0.167 0.167 0.500
Ga: 0.833 0.833 0.500
Fe: 0.266 0.734 0.000
Fe: 0.734 0.266 0.000